The following is a PBE-GGA calculation of an optimized crystal structure of KAgBiF6, from Alexandria.

a = 6.178 Å, b = 6.178 Å, c = 10.601 Å
α = 90.00°, β = 90.00°, γ = 120.00°
Atoms (fractional coordinates):
K 0.000 0.000 0.000
K 0.000 0.000 0.500
Ag 0.333 0.667 0.250
Ag 0.667 0.333 0.750
Bi 0.333 0.667 0.750
Bi 0.667 0.333 0.250
F 0.000 0.367 0.140
F 0.000 0.367 0.640
F 0.000 0.633 0.360
F 0.000 0.633 0.860
F 0.367 0.000 0.140
F 0.367 0.000 0.640
F 0.367 0.367 0.360
F 0.367 0.367 0.860
F 0.633 0.000 0.360
F 0.633 0.000 0.860
F 0.633 0.633 0.140
F 0.633 0.633 0.640

Summary:
Space-group type = P-31c

=====

The following is a PBE-GGA calculation of an optimized crystal structure of KAgBiF5, from Alexandria.

a = 6.597 Å, b = 6.597 Å, c = 8.326 Å
α = 96.96°, β = 96.96°, γ = 114.94°
Atoms (fractional coordinates):
K 0.151 0.849 0.750
K 0.849 0.151 0.250
Ag 0.169 0.831 0.250
Ag 0.831 0.169 0.750
Bi 0.500 0.500 0.000
Bi 0.500 0.500 0.500
F 0.126 0.253 0.973
F 0.198 0.544 0.382
F 0.253 0.126 0.473
F 0.407 0.593 0.750
F 0.456 0.802 0.118
F 0.544 0.198 0.882
F 0.593 0.407 0.250
F 0.747 0.874 0.527
F 0.802 0.456 0.618
F 0.874 0.747 0.027

Summary:
Space-group type = C2/c

=====

The following is a PBE-GGA calculation of an optimized crystal structure of LaAgBi2F, from Alexandria.

a = 5.367 Å, b = 5.367 Å, c = 4.723 Å
α = 90.00°, β = 90.00°, γ = 90.00°
Atoms (fractional coordinates):
La 0.000 0.000 0.000
Ag 0.500 0.500 0.000
Bi 0.000 0.500 0.500
Bi 0.500 0.000 0.500
F 0.000 0.000 0.500

Summary:
Space-group type = P4/mmm

=====

The following is a PBE-GGA calculation of an optimized crystal structure of Li2AgBiF6, from Alexandria.

a = 5.702 Å, b = 5.702 Å, c = 5.702 Å
α = 59.23°, β = 59.23°, γ = 59.23°
Atoms (fractional coordinates):
Li 0.000 0.000 0.000
Li 0.486 0.486 0.486
Ag 0.228 0.228 0.228
Bi 0.711 0.711 0.711
F 0.151 0.751 0.350
F 0.286 0.672 0.827
F 0.350 0.151 0.751
F 0.672 0.827 0.286
F 0.751 0.350 0.151
F 0.827 0.286 0.672

Summary:
Space-group type = R3

=====

The following is a PBE-GGA calculation of an optimized crystal structure of Li2AgBiF8, from Alexandria.

a = 4.793 Å, b = 7.143 Å, c = 4.800 Å
α = 90.00°, β = 90.32°, γ = 90.00°
Atoms (fractional coordinates):
Li 0.000 0.231 0.000
Li 0.000 0.769 0.000
Ag 0.500 0.000 0.500
Bi 0.500 0.500 0.500
F 0.180 0.500 0.181
F 0.197 0.000 0.198
F 0.293 0.260 0.708
F 0.293 0.740 0.708
F 0.707 0.260 0.292
F 0.707 0.740 0.292
F 0.803 0.000 0.802
F 0.820 0.500 0.819

Summary:
Space-group type = P2/m

=====

The following is a PBE-GGA calculation of an optimized crystal structure of LiAg2BiF8, from Alexandria.

a = 5.055 Å, b = 5.230 Å, c = 7.099 Å
α = 85.09°, β = 86.77°, γ = 88.61°
Atoms (fractional coordinates):
Li 0.000 0.000 0.000
Ag 0.487 0.484 0.771
Ag 0.513 0.516 0.229
Bi 0.000 0.000 0.500
F 0.195 0.801 0.755
F 0.197 0.809 0.250
F 0.276 0.274 0.988
F 0.311 0.306 0.470
F 0.689 0.694 0.530
F 0.724 0.726 0.012
F 0.803 0.191 0.750
F 0.805 0.199 0.245

Summary:
Space-group type = P-1

=====

The following is a PBE-GGA calculation of an optimized crystal structure of MgAgBiF6, from Alexandria.

a = 5.246 Å, b = 5.246 Å, c = 10.405 Å
α = 90.00°, β = 90.00°, γ = 90.00°
Atoms (fractional coordinates):
Mg 0.000 0.000 0.000
Mg 0.500 0.500 0.500
Ag 0.000 0.000 0.666
Ag 0.500 0.500 0.166
Bi 0.000 0.000 0.338
Bi 0.500 0.500 0.838
F 0.175 0.175 0.153
F 0.194 0.194 0.862
F 0.228 0.228 0.485
F 0.272 0.728 0.985
F 0.306 0.694 0.362
F 0.325 0.675 0.653
F 0.675 0.325 0.653
F 0.694 0.306 0.362
F 0.728 0.272 0.985
F 0.772 0.772 0.485
F 0.806 0.806 0.862
F 0.825 0.825 0.153

Summary:
Space-group type = P4_2nm

=====

| no. | theoretical density (g/cm3) | E_tot (eV/atom) |
| --- | --- | --- |
| 1 | 4.45 | -4.182 |
| 2 | 4.68 | -4.311 |
| 3 | 8.34 | -4.280 |
| 4 | 5.73 | -4.520 |
| 5 | 4.88 | -4.230 |
| 6 | 5.19 | -4.028 |
| 7 | 5.28 | -4.637 |